Entry from the Alexandria database: a relaxed structure of ErNi3 (PBEsol).

## Properties
For the total magnetization, the calculation gives 2.16 Bohr magnetons per cell. Its density of states at the Fermi level is 46.4 states/eV per cell. For the formation energy, the calculation gives -450 meV per atom. The calculated total energy comes out at -6.30 eV/atom.

abc: 4.8499 4.8499 23.8489
angles: 90.00 90.00 120.00
Closest atoms and distances in Å follow each position.
Space group R-3m (No. 166, hexagonal axes)
One atom of each set of equivalent atoms:
Er 0.0000 0.0000 0.0000 (multiplicity 3)  18 Ni 2.80-3.12
Er 0.0000 0.0000 0.1391 (multiplicity 6)  12 Ni 2.78-3.01, 3 Er 3.09
Ni 0.0000 0.0000 0.3332 (multiplicity 6)  6 Ni 2.41-2.42
Ni 0.0000 0.0000 0.5000 (multiplicity 3)  6 Ni 2.45
Ni 0.0013 0.5007 0.9176 (multiplicity 18)  7 Ni 2.41-2.45